# HoMoAsO5, optimized geometry, DFT GGA+U
# Space-group type: No. 15
# Total energy (eV per atom): -7.03
data_HoMoAsO5
_space_group_name_H-M_alt 'P 1'
_space_group_IT_number 1
_space_group_name_Hall 'P 1'
_cell_length_a 5.806
_cell_length_b 5.806
_cell_length_c 8.006
_cell_angle_alpha 102.09
_cell_angle_beta 102.09
_cell_angle_gamma 109.23
loop_
_atom_site_label
_atom_site_fract_x
_atom_site_fract_y
_atom_site_fract_z
Ho1 0.000 0.000 0.000
Ho2 0.000 0.000 0.500
Mo1 0.315 0.685 0.750
Mo2 0.685 0.315 0.250
As1 0.315 0.685 0.250
As2 0.685 0.315 0.750
O1 0.057 0.656 0.335
O2 0.096 0.904 0.750
O3 0.269 0.420 0.084
O4 0.344 0.943 0.165
O5 0.420 0.269 0.584
O6 0.580 0.731 0.416
O7 0.656 0.057 0.835
O8 0.731 0.580 0.916
O9 0.904 0.096 0.250
O10 0.943 0.344 0.665